1:
The following is a DFT calculation (PBE) of ZrH3O after structural relaxation.

Values from the calculation:
The density of states at the Fermi level is 1.48 states/eV/cell. The calculation puts the size of the total moment at 1.0 μB per formula unit.

Cell lengths 3.745, 3.745, 3.745 Å; angles 90.00, 90.00, 90.00 degrees
Element x y z (fractional)
Zr 0.000 0.000 0.000
H 0.000 0.000 0.500
H 0.000 0.500 0.000
H 0.500 0.000 0.000
O 0.500 0.500 0.500

2:
The following is a DFT calculation (PBE) of ZrH3O after structural relaxation.

Values from the calculation:
The density of states at the Fermi level is 1.65 states/eV/cell. The calculation puts the size of the total moment at 0.0 μB per formula unit.

Cell lengths 3.370, 3.370, 3.370 Å; angles 90.00, 90.00, 90.00 degrees
Element x y z (fractional)
Zr 0.000 0.000 0.000
H 0.000 0.500 0.500
H 0.500 0.000 0.500
H 0.500 0.500 0.000
O 0.500 0.500 0.500

Which structure is most stable? 1, by 15.6 kJ/mol of atoms over the runner-up.